1.
{
  "formula": "Ho2Sc17",
  "functional": "PBE",
  "state": "optimized geometry",
  "magnetic_moment_mub_per_cell": 0.1,
  "spacegroup": "R-3m, No. 166",
  "energy_ev_per_cell": -112.187,
  "dos_at_fermi_per_ev_cell": 42.175,
  "cell": [[-4.941, -2.560, 5.823], [0.847, -7.955, -0.940], [5.409, -1.455, 5.789]],
  "species": ["Sc", "Sc", "Sc", "Sc", "Sc", "Sc", "Sc", "Sc", "Sc", "Sc", "Sc", "Sc", "Sc", "Sc", "Sc", "Sc", "Sc", "Ho", "Ho"],
  "fractional_positions": [[0.000, 0.297, 0.703], [0.148, 0.635, 0.635], [0.297, 0.000, 0.703], [0.852, 0.365, 0.365], [0.635, 0.635, 0.148], [0.703, 0.297, 0.000], [0.000, 0.703, 0.297], [0.365, 0.852, 0.365], [0.898, 0.898, 0.898], [0.365, 0.365, 0.852], [0.102, 0.102, 0.102], [0.635, 0.148, 0.635], [0.297, 0.703, 0.000], [0.500, 0.000, 0.000], [0.703, 0.000, 0.297], [0.000, 0.000, 0.500], [0.000, 0.500, 0.000], [0.672, 0.672, 0.672], [0.328, 0.328, 0.328]]
}

---

2.
{
  "formula": "HoSc",
  "functional": "PBE",
  "state": "optimized geometry",
  "magnetic_moment_mub_per_cell": 0.0,
  "polymorph_energy_ev_per_atom": 0.0604,
  "spacegroup": "Pm-3m, No. 221",
  "energy_ev_per_cell": -10.728,
  "dos_at_fermi_per_ev_cell": 2.563,
  "cell": [[-0.678, 3.650, -0.849], [-3.584, -0.380, 1.229], [1.093, 1.018, 3.503]],
  "species": ["Ho", "Sc"],
  "fractional_positions": [[0.000, 0.000, 0.000], [0.500, 0.500, 0.500]]
}

---

3.
{
  "formula": "Ho7Sc5",
  "functional": "PBE",
  "state": "optimized geometry",
  "magnetic_moment_mub_per_cell": 0.0,
  "polymorph_energy_ev_per_atom": 0.1256,
  "spacegroup": "C2/m, No. 12",
  "energy_ev_per_cell": -61.585,
  "dos_at_fermi_per_ev_cell": 17.979,
  "cell": [[-3.451, 0.947, 4.030], [2.392, -4.802, -0.427], [9.945, 7.364, 6.785]],
  "species": ["Ho", "Ho", "Ho", "Ho", "Ho", "Ho", "Ho", "Sc", "Sc", "Sc", "Sc", "Sc"],
  "fractional_positions": [[0.069, 0.138, 0.212], [0.500, 0.000, 0.500], [0.691, 0.382, 0.075], [0.931, 0.862, 0.788], [0.309, 0.618, 0.925], [0.775, 0.551, 0.329], [0.225, 0.449, 0.671], [0.394, 0.789, 0.188], [0.147, 0.295, 0.444], [0.000, 0.000, 0.000], [0.853, 0.705, 0.556], [0.606, 0.211, 0.812]]
}

---

no.,ΔH_f (0 K) (eV/atom)
1,0.242
2,0.091
3,0.176